# 1
# BaNdSn2S6

Crystalline BaNdSn2S6 at its relaxed geometry (PBEsol, Alexandria via LeMat-Bulk).

Results
VASP energy = -5.443 eV per atom
Volume = 937 Å³/cell
Crystal system = orthorhombic
Space group = Pmc2_1 (26)

Structure (POSCAR):
```
BaNdSn2S6
1.0
-0.612 -1.952 3.417
11.634 0.399 2.310
-2.463 17.262 9.422
S Sn Ba Nd
24 8 4 4
direct
0.500 0.081 0.168
0.000 0.794 0.768
0.000 0.548 0.684
0.000 0.995 0.879
0.000 0.206 0.043
0.000 0.831 0.162
0.500 0.403 0.505
0.000 0.961 0.625
0.000 0.048 0.316
0.000 0.461 0.375
0.000 0.495 0.121
0.500 0.623 0.261
0.500 0.942 0.014
0.000 0.647 0.523
0.000 0.294 0.232
0.500 0.581 0.832
0.500 0.442 0.986
0.000 0.706 0.957
0.500 0.903 0.495
0.000 0.147 0.477
0.000 0.767 0.361
0.000 0.331 0.838
0.000 0.267 0.639
0.500 0.123 0.739
0.000 0.507 0.908
0.000 0.449 0.576
0.000 0.499 0.249
0.000 0.949 0.424
0.500 0.400 0.745
0.000 0.999 0.751
0.500 0.900 0.255
0.000 0.007 0.092
0.500 0.183 0.921
0.500 0.246 0.363
0.500 0.683 0.079
0.500 0.746 0.637
0.500 0.317 0.122
0.500 0.124 0.581
0.500 0.624 0.419
0.500 0.817 0.878
```

# 2
# BaNd2ZnS5

Crystalline BaNd2ZnS5 at its relaxed geometry (PBEsol, Alexandria via LeMat-Bulk).

Results
VASP energy = -5.837 eV per atom
Volume = 409 Å³/cell
Crystal system = tetragonal
Space group = I4/mcm (140)

Structure (POSCAR):
```
BaNd2ZnS5
1.0
-2.897 -6.262 3.604
0.956 -0.576 -8.638
5.999 -4.248 -2.559
Nd S Zn Ba
4 10 2 2
direct
0.661 0.000 0.161
0.839 0.000 0.661
0.339 0.000 0.839
0.161 0.000 0.339
0.000 0.000 0.000
0.016 0.732 0.784
0.216 0.732 0.284
0.516 0.732 0.984
0.284 0.268 0.516
0.484 0.268 0.016
0.784 0.268 0.716
0.716 0.732 0.484
0.500 0.000 0.500
0.984 0.268 0.216
0.250 0.500 0.250
0.750 0.500 0.750
0.750 0.500 0.250
0.250 0.500 0.750
```

# 3
# BaNiO2

Crystalline BaNiO2 at its relaxed geometry (PBEsol, Alexandria via LeMat-Bulk).

Results
VASP energy = -6.274 eV per atom
Volume = 86 Å³/cell
Crystal system = trigonal
Space group = R-3m (166)

Structure (POSCAR):
```
BaNiO2
1.0
4.215 0.000 0.000
2.107 3.650 0.000
2.107 1.217 5.622
O Ni Ba
2 1 1
direct
0.100 0.100 0.700
0.900 0.900 0.300
0.000 0.000 0.000
0.500 0.500 0.500
```

# 4
# Ba2NiO

Crystalline Ba2NiO at its relaxed geometry (PBEsol, Alexandria via LeMat-Bulk).

Results
VASP energy = -4.580 eV per atom
Volume = 87 Å³/cell
Crystal system = cubic
Space group = Fm-3m (225)

Structure (POSCAR):
```
Ba2NiO
1.0
4.979 0.000 0.000
2.489 4.312 0.000
2.489 1.437 4.065
Ni O Ba
1 1 2
direct
0.500 0.500 0.500
0.000 0.000 0.000
0.250 0.250 0.250
0.750 0.750 0.750
```

# 5
# Ba6Ni5O15

Crystalline Ba6Ni5O15 at its relaxed geometry (PBEsol, Alexandria via LeMat-Bulk).

Results
VASP energy = -6.465 eV per atom
Volume = 357 Å³/cell
Crystal system = trigonal
Space group = R32 (155)

Structure (POSCAR):
```
Ba6Ni5O15
1.0
-3.516 -1.748 -5.917
-3.507 -5.212 3.312
-5.402 4.314 1.624
O Ni Ba
15 5 6
direct
0.668 0.807 0.962
0.807 0.962 0.668
0.962 0.668 0.807
0.000 0.854 0.146
0.473 0.766 0.629
0.527 0.371 0.234
0.193 0.332 0.038
0.766 0.629 0.473
0.038 0.193 0.332
0.146 0.000 0.854
0.629 0.473 0.766
0.234 0.527 0.371
0.854 0.146 0.000
0.371 0.234 0.527
0.332 0.038 0.193
0.289 0.289 0.289
0.905 0.905 0.905
0.095 0.095 0.095
0.711 0.711 0.711
0.500 0.500 0.500
0.335 0.665 0.000
0.851 0.500 0.149
0.665 0.000 0.335
0.000 0.335 0.665
0.149 0.851 0.500
0.500 0.149 0.851
```

# 6
# BaNi4O8

Crystalline BaNi4O8 at its relaxed geometry (PBEsol, Alexandria via LeMat-Bulk).

Results
VASP energy = -6.430 eV per atom
Volume = 172 Å³/cell
Crystal system = trigonal
Space group = R-3m (166)

Structure (POSCAR):
```
BaNi4O8
1.0
-1.927 -5.126 1.417
3.573 -3.922 1.963
-0.459 -1.039 6.909
O Ba Ni
8 1 4
direct
0.780 0.780 0.156
0.220 0.716 0.844
0.718 0.718 0.845
0.780 0.284 0.156
0.716 0.220 0.844
0.282 0.282 0.155
0.220 0.220 0.844
0.284 0.780 0.156
0.500 0.500 0.500
0.500 0.500 0.000
0.000 0.500 0.000
0.000 0.000 0.000
0.500 0.000 0.000
```

# 7
# BaNi2P2O8

Crystalline BaNi2P2O8 at its relaxed geometry (PBEsol, Alexandria via LeMat-Bulk).

Results
VASP energy = -7.225 eV per atom
Volume = 153 Å³/cell
Crystal system = trigonal
Space group = R-3 (148)

Structure (POSCAR):
```
BaNi2P2O8
1.0
4.773 0.000 0.000
2.387 4.134 0.000
2.387 1.378 7.750
O P Ni Ba
8 2 2 1
direct
0.141 0.440 0.656
0.639 0.639 0.084
0.560 0.236 0.344
0.440 0.764 0.656
0.859 0.560 0.344
0.764 0.141 0.656
0.236 0.859 0.344
0.361 0.361 0.916
0.573 0.573 0.280
0.427 0.427 0.720
0.831 0.831 0.506
0.169 0.169 0.494
0.000 0.000 0.000
```

# 8
# BaNiP2O7

Crystalline BaNiP2O7 at its relaxed geometry (PBEsol, Alexandria via LeMat-Bulk).

Results
VASP energy = -7.369 eV per atom
Volume = 283 Å³/cell
Crystal system = triclinic
Space group = P-1 (2)

Structure (POSCAR):
```
BaNiP2O7
1.0
-4.939 0.262 1.788
2.928 -2.009 6.390
0.767 7.539 0.209
O P Ba Ni
14 4 2 2
direct
0.605 0.853 0.412
0.227 0.372 0.413
0.773 0.628 0.587
0.928 0.220 0.609
0.703 0.533 0.250
0.195 0.349 0.075
0.410 0.107 0.202
0.297 0.467 0.750
0.395 0.147 0.588
0.590 0.893 0.798
0.076 0.885 0.790
0.924 0.115 0.210
0.072 0.780 0.391
0.805 0.651 0.925
0.205 0.303 0.601
0.795 0.697 0.399
0.186 0.230 0.217
0.814 0.770 0.783
0.689 0.277 0.934
0.311 0.723 0.066
0.322 0.877 0.597
0.678 0.123 0.403
```